Model P:
{"formula": "BaLiY3", "functional": "GGA-PBE", "state": "relaxed", "lattice_angstrom": [[-4.872, 0.705, -3.127], [2.923, -1.358, -4.860], [-1.316, -5.628, 0.781]], "species": ["Y", "Y", "Y", "Ba", "Li"], "frac_coords": [[0.000, 0.500, 0.000], [0.000, 0.000, 0.500], [0.500, 0.000, 0.000], [0.000, 0.000, 0.000], [0.500, 0.500, 0.500]], "magnetic_moment_mub_per_atom": 0.00}


Model Q:
{"formula": "BaLiY3", "functional": "GGA-PBE", "state": "relaxed", "lattice_angstrom": [[-5.413, -1.151, 1.055], [-0.799, -1.227, -5.440], [1.341, -5.377, 1.015]], "species": ["Y", "Y", "Y", "Ba", "Li"], "frac_coords": [[0.000, 0.500, 0.000], [0.000, 0.000, 0.500], [0.500, 0.000, 0.000], [0.500, 0.500, 0.500], [0.000, 0.000, 0.000]], "magnetic_moment_mub_per_atom": 0.00}


Bottom line: model Q, by a margin of 0.650 eV/atom.


Model P:
{"formula": "Ba3LiY", "functional": "GGA-PBE", "state": "relaxed", "lattice_angstrom": [[-2.898, -6.053, 1.209], [4.353, -2.952, -4.341], [4.377, -1.073, 5.118]], "species": ["Y", "Ba", "Ba", "Ba", "Li"], "frac_coords": [[0.000, 0.000, 0.000], [0.000, 0.500, 0.000], [0.000, 0.000, 0.500], [0.500, 0.000, 0.000], [0.500, 0.500, 0.500]], "magnetic_moment_mub_per_atom": 0.62}


Model Q:
{"formula": "Ba3LiY", "functional": "GGA-PBE", "state": "relaxed", "lattice_angstrom": [[6.323, 0.000, 0.000], [0.000, 6.323, 0.000], [0.000, 0.000, 6.323]], "species": ["Y", "Ba", "Ba", "Ba", "Li"], "frac_coords": [[0.500, 0.500, 0.500], [0.000, 0.500, 0.000], [0.000, 0.000, 0.500], [0.500, 0.000, 0.000], [0.000, 0.000, 0.000]], "magnetic_moment_mub_per_atom": 0.00}


Bottom line: model Q, by a margin of 0.165 eV/atom.


Model P:
{"formula": "BaLiZn2", "functional": "GGA-PBE", "state": "relaxed", "lattice_angstrom": [[4.545, -0.086, 0.156], [2.353, 3.889, 0.156], [2.050, 1.130, 5.976]], "species": ["Zn", "Zn", "Ba", "Li"], "frac_coords": [[0.007, 0.007, 0.980], [0.690, 0.690, 0.930], [0.495, 0.495, 0.515], [0.308, 0.308, 0.076]], "magnetic_moment_mub_per_atom": 0.00}


Model Q:
{"formula": "BaLiZn2", "functional": "GGA-PBE", "state": "relaxed", "lattice_angstrom": [[5.405, 0.000, 0.000], [0.000, 5.401, 0.000], [0.000, 0.000, 3.807]], "species": ["Ba", "Li", "Zn", "Zn"], "frac_coords": [[0.500, 0.000, 0.500], [0.000, 0.500, 0.500], [0.000, 0.000, 0.000], [0.500, 0.500, 0.000]], "magnetic_moment_mub_per_atom": 0.00}


Bottom line: model P, by a margin of 0.232 eV/atom.


Model P:
{"formula": "BaLiZn2", "functional": "GGA-PBE", "state": "relaxed", "lattice_angstrom": [[0.000, 3.777, 3.777], [3.777, 0.000, 3.777], [3.777, 3.777, 0.000]], "species": ["Zn", "Zn", "Ba", "Li"], "frac_coords": [[0.250, 0.250, 0.250], [0.750, 0.750, 0.750], [0.500, 0.500, 0.500], [0.000, 0.000, 0.000]], "magnetic_moment_mub_per_atom": 0.00}


Model Q:
{"formula": "BaLiZn2", "functional": "GGA-PBE", "state": "relaxed", "lattice_angstrom": [[-2.005, 2.411, 3.018], [3.819, -4.004, 5.736], [9.030, 8.024, -0.411]], "species": ["Ba", "Ba", "Ba", "Ba", "Li", "Li", "Li", "Li", "Zn", "Zn", "Zn", "Zn", "Zn", "Zn", "Zn", "Zn"], "frac_coords": [[0.750, 0.745, 0.294], [0.750, 0.245, 0.206], [0.250, 0.255, 0.706], [0.250, 0.755, 0.794], [0.250, 0.071, 0.437], [0.750, 0.929, 0.563], [0.250, 0.571, 0.063], [0.750, 0.429, 0.937], [0.750, 0.767, 0.016], [0.250, 0.233, 0.984], [0.750, 0.267, 0.484], [0.250, 0.733, 0.516], [0.750, 0.066, 0.926], [0.250, 0.434, 0.426], [0.750, 0.566, 0.574], [0.250, 0.934, 0.074]], "magnetic_moment_mub_per_atom": 0.00}


Bottom line: model Q, by a margin of 0.112 eV/atom.


Model P:
{"formula": "BaLiZn2", "functional": "GGA-PBE", "state": "relaxed", "lattice_angstrom": [[4.922, 0.000, 0.000], [0.000, 4.922, 0.000], [2.461, 2.461, 9.649]], "species": ["Zn", "Zn", "Zn", "Zn", "Ba", "Ba", "Li", "Li"], "frac_coords": [[0.376, 0.125, 0.250], [0.374, 0.625, 0.250], [0.375, 0.624, 0.750], [0.875, 0.626, 0.750], [0.000, 0.000, 0.000], [0.750, 0.250, 0.500], [0.500, 0.500, 0.000], [0.250, 0.750, 0.500]], "magnetic_moment_mub_per_atom": 0.00}


Model Q:
{"formula": "BaLiZn2", "functional": "GGA-PBE", "state": "relaxed", "lattice_angstrom": [[-0.903, 0.880, 3.542], [-0.111, -3.654, 0.880], [7.140, 0.209, 1.769]], "species": ["Ba", "Li", "Zn", "Zn"], "frac_coords": [[0.000, 0.000, 0.476], [0.500, 0.500, 0.836], [0.000, 0.000, 0.002], [0.500, 0.500, 0.186]], "magnetic_moment_mub_per_atom": 0.00}


Bottom line: model P, by a margin of 0.057 eV/atom.


Model P:
{"formula": "BaLiZn2", "functional": "GGA-PBE", "state": "relaxed", "lattice_angstrom": [[3.639, 0.000, 0.000], [0.000, 3.639, 0.000], [0.000, 0.000, 7.488]], "species": ["Ba", "Li", "Zn", "Zn"], "frac_coords": [[0.500, 0.500, 0.250], [0.500, 0.500, 0.750], [0.000, 0.000, 0.925], [0.000, 0.000, 0.575]], "magnetic_moment_mub_per_atom": 0.00}


Model Q:
{"formula": "BaLiZn2", "functional": "GGA-PBE", "state": "relaxed", "lattice_angstrom": [[-0.744, -3.394, -4.625], [3.421, -4.568, 0.942], [-4.550, 2.640, 2.408]], "species": ["Ba", "Li", "Zn", "Zn"], "frac_coords": [[0.515, 0.515, 0.000], [0.200, 0.700, 0.500], [0.976, 0.976, 0.000], [0.809, 0.309, 0.500]], "magnetic_moment_mub_per_atom": 0.00}


Model R:
{"formula": "BaLiZn2", "functional": "GGA-PBE", "state": "relaxed", "lattice_angstrom": [[6.340, -0.037, -0.024], [4.671, 4.287, -0.024], [4.671, 1.803, 3.889]], "species": ["Zn", "Zn", "Ba", "Li"], "frac_coords": [[0.060, 0.060, 0.060], [0.440, 0.440, 0.440], [0.250, 0.250, 0.250], [0.750, 0.750, 0.750]], "magnetic_moment_mub_per_atom": 0.00}


Model S:
{"formula": "BaLiZn2", "functional": "GGA-PBE", "state": "relaxed", "lattice_angstrom": [[-4.965, -1.507, -0.319], [1.441, -3.493, -3.569], [2.350, -0.008, 4.637]], "species": ["Ba", "Li", "Zn", "Zn"], "frac_coords": [[0.500, 0.500, 0.000], [0.750, 0.250, 0.500], [0.000, 0.000, 0.000], [0.250, 0.750, 0.500]], "magnetic_moment_mub_per_atom": 0.00}


Bottom line: model R, by a margin of 0.112 eV/atom.